Entry 1:
This record from the Alexandria database describes a relaxed HfP2AuO crystal. The functional is PBE-GGA.

Results
Excess energy over the best structure of this formula in the dataset in eV per atom: 0.7120
Magnetization in μB/atom: 0.0000
Symmetry: P4/mmm
Energy relative to the elements, uncorrected in eV per atom: 0.400
N(E_F) in states/eV per cell: 2.2

Cell: 4.767 4.767 3.967 Å, 90.00 90.00 90.00°
Positions (direct):
Hf 0.500 0.500 0.500
Au 0.000 0.000 0.000
O 0.000 0.000 0.500
P 0.000 0.500 0.000
P 0.500 0.000 0.000

=====

Entry 2:
This record from the Alexandria database describes a relaxed La2Sn2Sb crystal. The functional is PBE-GGA.

Results
Excess energy over the best structure of this formula in the dataset in eV per atom: 0.0142
Magnetization in μB/atom: 0.0000
Symmetry: P4/mbm
Energy relative to the elements, uncorrected in eV per atom: -0.731
N(E_F) in states/eV per cell: 5.4

Cell: 8.137 8.137 4.673 Å, 90.00 90.00 90.00°
Positions (direct):
Sb 0.000 0.000 0.000
Sb 0.500 0.500 0.000
Sn 0.373 0.873 0.000
Sn 0.873 0.627 0.000
Sn 0.627 0.127 0.000
Sn 0.127 0.373 0.000
La 0.175 0.675 0.500
La 0.675 0.825 0.500
La 0.825 0.325 0.500
La 0.325 0.175 0.500

=====

Entry 3:
This record from the Alexandria database describes a relaxed ZrSc2Ru crystal. The functional is PBE-GGA.

Results
Energy relative to the elements in kJ/mol of atoms: -33.04
Excess energy over the best structure of this formula in the dataset in eV per atom: 0.0100
Magnetization in μB/atom: 0.0000
Symmetry: Immm
N(E_F) in states/eV per cell: 3.6

Cell: 5.822 5.822 5.822 Å, 146.97 131.07 60.31°
Positions (direct):
Sc 0.039 0.039 0.000
Sc 0.461 0.461 0.000
Ru 0.250 0.750 0.500
Zr 0.750 0.250 0.500